No. 1
The following is a DFT calculation (PBE-GGA) of an optimized crystal structure of NaLuZnSe3.

```
24
Lattice="13.985 0.000 0.000 0.000 4.012 0.000 0.000 0.000 10.934" Properties=species:S:1:pos:R:3 pbc="T T T"
Zn 7.156 3.009 6.519
Lu 0.241 1.003 7.166
Se 5.067 1.003 2.744
Lu 13.744 3.009 3.769
Se 12.059 1.003 2.723
Na 10.311 1.003 6.240
Zn 13.822 1.003 1.051
Se 5.646 1.003 6.708
Na 10.666 3.009 0.773
Na 3.674 3.009 4.694
Na 3.319 1.003 10.162
Se 8.339 3.009 4.226
Zn 0.163 3.009 9.883
Se 12.499 3.009 6.251
Se 12.639 1.003 9.693
Se 8.478 1.003 0.784
Se 5.506 3.009 10.151
Se 1.925 3.009 8.211
Lu 6.751 3.009 1.698
Se 1.486 1.003 4.684
Se 1.346 3.009 1.241
Lu 7.234 1.003 9.236
Se 8.918 3.009 8.190
Zn 6.829 1.003 4.416
```

Output
symmetry: No. 62
energy: -4.222 eV per atom

---

No. 2
The following is a DFT calculation (PBE-GGA) of an optimized crystal structure of NaLuZnSe3.

```
12
Lattice="-8.498 1.569 -4.048 -9.430 1.460 -0.162 2.938 7.548 0.918" Properties=species:S:1:pos:R:3 pbc="T T T"
Lu -1.420 4.917 -0.201
Zn -7.444 7.111 -1.583
Se 1.469 3.774 0.459
Se -3.918 5.925 -0.771
Se -9.582 8.184 -2.064
Lu -13.570 5.660 -3.091
Zn -7.546 3.465 -1.710
Se -11.072 4.651 -2.521
Na -2.034 0.915 -0.462
Se -5.408 2.393 -1.228
Se -8.964 1.515 -2.105
Na -12.956 9.661 -2.831
```

Output
symmetry: No. 12
energy: -4.128 eV per atom

---

Number 1: ΔE to the lowest computed polymorph 8 meV per atom. Number 2: ΔE to the lowest computed polymorph 102 meV per atom.